CaTlZn2: optimized geometry, PBE.

Geometry as CIF:
```
data_CaTlZn2
_chemical_formula_sum 'Ca1 Tl1 Zn2'
_symmetry_space_group_name_H-M 'P 4 m m'
_symmetry_Int_Tables_number 99
_cell_length_a 3.521
_cell_length_b 3.521
_cell_length_c 7.338
_cell_angle_alpha 90.00
_cell_angle_beta 90.00
_cell_angle_gamma 90.00
loop_
_symmetry_equiv_pos_as_xyz
'x,y,z'
'-y,x,z'
'-x,-y,z'
'y,-x,z'
'-x,y,z'
'y,x,z'
'x,-y,z'
'-y,-x,z'
loop_
_atom_site_label
_atom_site_fract_x
_atom_site_fract_y
_atom_site_fract_z
Ca1 0.000 0.000 0.000
Tl1 0.500 0.500 0.314
Zn1 0.000 0.000 0.568
Zn2 0.500 0.500 0.725
```

Results
ΔH_f (0 K) = -0.118 eV/atom
Magnetic moment = 0.000 μB per cell